Entry 1:
Density functional theory data (GGA-PBE) for a relaxed CaInGa2Au4 crystal.

Cell lengths 4.432, 4.432, 10.263 Å; angles 77.53, 77.53, 60.00 degrees
Atoms (fractional coordinates):
Au 0.606 0.606 0.183
Ga 0.254 0.254 0.237
Ga 0.746 0.746 0.763
In 0.500 0.500 0.500
Au 0.119 0.119 0.642
Ca 0.000 0.000 0.000
Au 0.394 0.394 0.817
Au 0.881 0.881 0.358

Summary:
* VASP energy: -26.8 eV/cell
* total moment: 0.0 μB per formula unit
* symmetry: No. 166
* DOS(E_F): 3.9 states/eV/cell
* calculated density: 10.6 g/cm³



Entry 2:
Density functional theory data (GGA-PBE) for a relaxed ZnCrTcGe crystal.

Cell lengths 4.313, 4.313, 4.313 Å; angles 60.00, 60.00, 60.00 degrees
Each line ends with the local moment (μB).
Atoms (fractional coordinates):
Cr 0.000 0.000 0.000  2.98
Ge 0.250 0.250 0.250  -0.03
Tc 0.500 0.500 0.500  0.17
Zn 0.750 0.750 0.750  0.02

Summary:
* VASP energy: -25.5 eV/cell
* total moment: 3.4 μB per formula unit
* symmetry: No. 216
* DOS(E_F): 4.0 states/eV/cell
* calculated density: 8.4 g/cm³



Entry 3:
Density functional theory data (GGA-PBE) for a relaxed Ce2Pm3Si4 crystal.

Cell lengths 7.660, 7.845, 7.888 Å; angles 90.00, 90.00, 105.52 degrees
Each line ends with the local moment (μB).
Atoms (fractional coordinates):
Si 0.116 0.509 0.885  -0.02
Si 0.616 0.509 0.615  -0.02
Pm 0.246 0.760 0.183  0.14
Si 0.615 0.918 0.023  -0.02
Pm 0.754 0.240 0.817  0.14
Ce 0.593 0.202 0.317  0.91
Pm 0.500 0.500 0.000  0.27
Ce 0.407 0.798 0.683  0.91
Si 0.885 0.082 0.523  -0.02
Si 0.115 0.918 0.477  -0.02
Ce 0.093 0.202 0.183  0.91
Si 0.385 0.082 0.977  -0.02
Ce 0.907 0.798 0.817  0.91
Si 0.384 0.491 0.385  -0.02
Pm 0.000 0.500 0.500  0.27
Pm 0.254 0.240 0.683  0.14
Pm 0.746 0.760 0.317  0.14
Si 0.884 0.491 0.115  -0.02

Summary:
* VASP energy: -107.2 eV/cell
* total moment: 3.5 μB per formula unit
* symmetry: No. 14
* DOS(E_F): 34.4 states/eV/cell
* calculated density: 6.0 g/cm³



Entry 4:
Density functional theory data (GGA-PBE) for a relaxed RbAlCd2Pd crystal.

Cell lengths 5.377, 5.377, 4.846 Å; angles 90.00, 90.00, 90.00 degrees
Atoms (fractional coordinates):
Al 0.000 0.000 0.500
Cd 0.500 0.000 0.000
Rb 0.500 0.500 0.500
Pd 0.000 0.000 0.000
Cd 0.000 0.500 0.000

Summary:
* VASP energy: -12.5 eV/cell
* total moment: 0.0 μB per formula unit
* symmetry: No. 123
* DOS(E_F): 1.9 states/eV/cell
* calculated density: 5.3 g/cm³



Entry 5:
Density functional theory data (GGA-PBE) for a relaxed MnTeOs2 crystal.

Cell lengths 8.859, 8.859, 8.859 Å; angles 19.15, 19.15, 19.15 degrees
Each line ends with the local moment (μB).
Atoms (fractional coordinates):
Os 0.000 0.000 0.000  0.01
Os 0.255 0.255 0.255  0.11
Mn 0.747 0.747 0.747  3.23
Te 0.499 0.499 0.499  -0.02

Summary:
* VASP energy: -32.1 eV/cell
* total moment: 3.4 μB per formula unit
* symmetry: No. 160
* DOS(E_F): 3.1 states/eV/cell
* calculated density: 14.3 g/cm³



Entry 6:
Density functional theory data (GGA-PBE) for a relaxed Ce6HgPb5 crystal.

Cell lengths 7.877, 7.946, 7.910 Å; angles 59.85, 80.42, 70.64 degrees
Each line ends with the local moment (μB).
Atoms (fractional coordinates):
Pb 0.000 0.332 0.336  -0.03
Ce 0.251 0.257 0.000  0.55
Ce 0.749 0.743 0.000  0.55
Pb 0.000 0.668 0.664  -0.03
Pb 0.500 0.839 0.323  -0.04
Hg 0.000 0.000 0.000  0.11
Ce 0.744 0.086 0.340  0.64
Ce 0.256 0.914 0.660  0.64
Ce 0.744 0.426 0.660  0.64
Pb 0.500 0.161 0.677  -0.04
Pb 0.500 0.500 0.000  -0.04
Ce 0.256 0.574 0.340  0.64

Summary:
* energy above the most stable polymorph in this dataset: 145 meV/atom
* VASP energy: -57.3 eV/cell
* total moment: 4.2 μB per formula unit
* symmetry: No. 12
* DOS(E_F): 32.4 states/eV/cell
* calculated density: 8.5 g/cm³